Entry 1:
CoMo2Ir PBE-GGA optimized geometry; energy of formation = 0.568 eV/atom; DOS at the Fermi energy = 1.518 states/eV/atom
1.0
-1.8793 1.8793 8.7826
1.8793 -1.8793 8.7826
1.8793 1.8793 -8.7826
Co Mo Ir
2 4 2
direct
0.0000 0.0000 0.0000
0.7500 0.2500 0.5000
0.1053 0.6250 0.9803
0.3750 0.3553 0.4803
0.6447 0.1250 0.0197
0.8750 0.8947 0.5197
0.2500 0.7500 0.5000
0.5000 0.5000 0.0000

---

Entry 2:
TaIn2As PBE-GGA optimized geometry; energy of formation = 0.303 eV/atom; DOS at the Fermi energy = 0.753 states/eV/atom
1.0
3.0617 -4.4865 0.0000
3.0617 4.4865 0.0000
-0.0127 0.0000 2.9921
Ta In As
1 2 1
direct
0.0000 0.0000 0.0000
0.0000 0.5000 0.5000
0.5000 0.0000 0.5000
0.5000 0.5000 0.0000